Record 1
Crystalline NdHo3Bi2 at its relaxed geometry. Source: Alexandria via LeMat-Bulk, functional PBE.

The structure belongs to space group C2/m (No. 12); the cell edges are 18.782, 4.371 and 9.940 Å and the angles 90.00°, 113.50° and 90.00°. The distinct sites, in fractional coordinates, are Nd at (0.111, 0.000, 0.119), Ho at (0.058, 0.000, 0.671), Ho at (0.138, 0.500, 0.477), Ho at (0.188, 0.500, 0.889), Bi at (0.012, 0.500, 0.843) and Bi at (0.247, 0.000, 0.710).

For the energy of formation from the pure elements, the calculation gives -496 meV per atom.

Record 2
Crystalline NdHoBi at its relaxed geometry. Source: Alexandria via LeMat-Bulk, functional PBE.

The structure belongs to space group P3m1 (No. 156); the cell edges are 5.2406, 5.2406 and 4.0941 Å and the angles 90.00°, 90.00° and 120.00°. The distinct sites, in fractional coordinates, are Nd at (0.0000, 0.0000, 0.0000), Ho at (0.3333, 0.6667, 0.4735) and Bi at (0.6667, 0.3333, 0.6262).

For the energy of formation from the pure elements, the calculation gives -292 meV per atom.

Record 3
Crystalline Nd4HoBi5 at its relaxed geometry. Source: Alexandria via LeMat-Bulk, functional PBE.

The structure belongs to space group I4/mmm (No. 139); the cell edges are 4.583, 4.583 and 32.363 Å and the angles 90.00°, 90.00° and 90.00°. The distinct sites, in fractional coordinates, are Nd at (0.000, 0.000, 0.100), Nd at (0.000, 0.000, 0.301), Ho at (0.000, 0.000, 0.500), Bi at (0.000, 0.000, 0.000), Bi at (0.000, 0.000, 0.200) and Bi at (0.000, 0.000, 0.402).

For the energy of formation from the pure elements, the calculation gives -922 meV per atom.

Record 4
Crystalline NdHoBiO2 at its relaxed geometry. Source: Alexandria via LeMat-Bulk, functional PBE.

The structure belongs to space group I4mm (No. 107); the cell edges are 3.946, 3.946 and 13.804 Å and the angles 90.00°, 90.00° and 90.00°. The distinct sites, in fractional coordinates, are Nd at (0.000, 0.000, 0.000), Ho at (0.000, 0.000, 0.334), Bi at (0.000, 0.000, 0.669) and O at (0.000, 0.500, 0.410).

The uncorrected formation energy is -2623 meV per atom.

Record 5
Crystalline Nd2HoBi2O2 at its relaxed geometry. Source: Alexandria via LeMat-Bulk, functional PBE.

The structure belongs to space group I4/mmm (No. 139); the cell edges are 4.392, 4.392 and 16.883 Å and the angles 90.00°, 90.00° and 90.00°. The distinct sites, in fractional coordinates, are Nd at (0.000, 0.000, 0.110), Ho at (0.000, 0.000, 0.500), Bi at (0.000, 0.000, 0.310) and O at (0.000, 0.500, 0.000).

The uncorrected formation energy is -1865 meV per atom.

Record 6
Crystalline PmNd2HoBi5 at its relaxed geometry. Source: Alexandria via LeMat-Bulk, functional PBE.

The structure belongs to space group P4/mmm (No. 123); the cell edges are 5.406, 5.406 and 12.081 Å and the angles 90.00°, 90.00° and 90.00°. The distinct sites, in fractional coordinates, are Pm at (0.000, 0.000, 0.000), Nd at (0.500, 0.500, 0.272), Ho at (0.000, 0.000, 0.500), Bi at (0.000, 0.000, 0.249), Bi at (0.000, 0.500, 0.500) and Bi at (0.500, 0.500, 0.000).

For the energy of formation from the pure elements, the calculation gives -154 meV per atom.